No. 1
BiSCl | the Alexandria database | PBE | relaxed; E = -0.2886 Ry per atom; M_tot = 0.00 μB per atom; DOS at the Fermi energy = 0.00 states/eV/cell
1.0
4.0631 0.0000 0.0000
-2.0315 3.5187 0.0000
0.0000 0.0000 6.9130
Bi S Cl
1 1 1
direct
0.0000 0.0000 0.0000
0.6667 0.3333 0.2061
0.3333 0.6667 0.7447

No. 2
BiS6Cl12 | the Alexandria database | PBE | relaxed; E = -0.2072 Ry per atom; M_tot = 0.00 μB per atom; DOS at the Fermi energy = 3.67 states/eV/cell
1.0
3.9729 2.2938 11.4939
-3.9729 2.2938 11.4939
0.0000 -4.5875 11.4939
Bi S Cl
1 6 12
direct
0.0000 0.0000 0.0000
0.1591 0.1916 0.4438
0.1916 0.4438 0.1591
0.4438 0.1591 0.1916
0.5562 0.8409 0.8084
0.8084 0.5562 0.8409
0.8409 0.8084 0.5562
0.0356 0.0885 0.4916
0.0885 0.4916 0.0356
0.1456 0.2668 0.7208
0.2668 0.7208 0.1456
0.2792 0.8544 0.7332
0.4916 0.0356 0.0885
0.5084 0.9644 0.9115
0.7208 0.1456 0.2668
0.7332 0.2792 0.8544
0.8544 0.7332 0.2792
0.9115 0.5084 0.9644
0.9644 0.9115 0.5084

No. 3
BiSCl | the Alexandria database | PBE | relaxed; E = -0.2681 Ry per atom; M_tot = 0.00 μB per atom
1.0
-1.7686 1.7686 6.7095
1.7686 -1.7686 6.7095
1.7686 1.7686 -6.7095
Bi S Cl
1 1 1
direct
0.0000 0.0000 0.0000
0.3950 0.3950 0.0000
0.6395 0.6395 0.0000

Please write out number 1 again, unchanged.
BiSCl | the Alexandria database | PBE | relaxed; E = -0.2886 Ry per atom; M_tot = 0.00 μB per atom; DOS at the Fermi energy = 0.00 states/eV/cell
1.0
4.0631 0.0000 0.0000
-2.0315 3.5187 0.0000
0.0000 0.0000 6.9130
Bi S Cl
1 1 1
direct
0.0000 0.0000 0.0000
0.6667 0.3333 0.2061
0.3333 0.6667 0.7447

- Among the records above, which one has the highest E?
  BiS6Cl12

- Among the records above, which one has the lowest E?
  number 1

Repeat the second record exactly.
BiS6Cl12 | the Alexandria database | PBE | relaxed; E = -0.2072 Ry per atom; M_tot = 0.00 μB per atom; DOS at the Fermi energy = 3.67 states/eV/cell
1.0
3.9729 2.2938 11.4939
-3.9729 2.2938 11.4939
0.0000 -4.5875 11.4939
Bi S Cl
1 6 12
direct
0.0000 0.0000 0.0000
0.1591 0.1916 0.4438
0.1916 0.4438 0.1591
0.4438 0.1591 0.1916
0.5562 0.8409 0.8084
0.8084 0.5562 0.8409
0.8409 0.8084 0.5562
0.0356 0.0885 0.4916
0.0885 0.4916 0.0356
0.1456 0.2668 0.7208
0.2668 0.7208 0.1456
0.2792 0.8544 0.7332
0.4916 0.0356 0.0885
0.5084 0.9644 0.9115
0.7208 0.1456 0.2668
0.7332 0.2792 0.8544
0.8544 0.7332 0.2792
0.9115 0.5084 0.9644
0.9644 0.9115 0.5084